Record 1
! CuMo2Os, optimized geometry, DFT PBEsol; values from VASP
&SYSTEM
  ibrav = 0, nat = 4, ntyp = 3
/
ATOMIC_SPECIES
Cu 63.55 Cu.upf
Mo 95.94 Mo.upf
Os 190.23 Os.upf
ATOMIC_POSITIONS angstrom
Cu 4.306 2.486 1.758
Mo 0.000 0.000 0.000
Mo 6.459 3.729 2.637
Os 2.153 1.243 0.879
CELL_PARAMETERS angstrom
4.306 0.000 0.000
2.153 3.729 0.000
2.153 1.243 3.516
! DFT formation energy ... 116 kJ/mol of formula units
! Density ... 13.11 g/cm3
! Space group ... F-43m, No. 216
! Energy above the most stable polymorph in this dataset ... 0.1365 eV/atom
! Total magnetization ... 0.00 μB/f.u.

=====

Record 2
! LiCaNi4, optimized geometry, DFT PBEsol; values from VASP
&SYSTEM
  ibrav = 0, nat = 6, ntyp = 3
/
ATOMIC_SPECIES
Ni 58.69 Ni.upf
Li 6.94 Li.upf
Ca 40.08 Ca.upf
ATOMIC_POSITIONS angstrom
Ni -3.862 -2.407 4.721
Ni -2.193 -2.451 2.963
Ni -3.699 -4.329 3.252
Ni -1.962 -3.904 4.889
Li 0.000 0.000 0.000
Ca -4.393 -4.909 5.934
CELL_PARAMETERS angstrom
-3.321 0.087 3.501
-2.997 -3.739 0.576
0.461 -2.893 3.836
! DFT formation energy ... -69 kJ/mol of formula units
! Density ... 5.89 g/cm3
! Space group ... F-43m, No. 216
! Total magnetization ... 0.00 μB/f.u.

=====

Record 3
! CsBeN2F, optimized geometry, DFT PBEsol; values from VASP
&SYSTEM
  ibrav = 0, nat = 5, ntyp = 4
/
ATOMIC_SPECIES
Be 9.01 Be.upf
Cs 132.91 Cs.upf
N 14.01 N.upf
F 19.00 F.upf
ATOMIC_POSITIONS angstrom
Be 0.000 0.000 0.000
Cs -2.232 -3.161 -0.473
N 0.817 -1.588 0.011
N -0.616 -0.328 -1.644
F -2.434 -1.245 1.160
CELL_PARAMETERS angstrom
-1.232 -0.657 -3.289
1.635 -3.177 0.022
-4.868 -2.490 2.321
! Density ... 4.14 g/cm3
! Space group ... P4/mmm, No. 123
! Final energy ... -22.88 eV for the cell shown
! Total magnetization ... 1.52 μB/f.u.

=====

Record 4
! LaAg2, optimized geometry, DFT PBEsol; values from VASP
&SYSTEM
  ibrav = 0, nat = 6, ntyp = 2
/
ATOMIC_SPECIES
Ag 107.87 Ag.upf
La 138.91 La.upf
ATOMIC_POSITIONS angstrom
Ag -1.785 -0.406 0.181
Ag -2.562 3.294 0.799
Ag -4.432 5.107 -0.531
Ag -3.655 1.408 -1.149
La -0.623 2.095 -1.457
La -5.594 2.606 1.107
CELL_PARAMETERS angstrom
-0.470 0.491 -3.532
-4.194 -3.188 1.946
-1.554 7.399 1.236
! DFT formation energy ... -60 kJ/mol of formula units
! Density ... 8.61 g/cm3
! Space group ... Immm, No. 71
! Total magnetization ... 0.00 μB/f.u.

=====

Record 5
! BaLaMnAg2, optimized geometry, DFT PBEsol; values from VASP
&SYSTEM
  ibrav = 0, nat = 5, ntyp = 4
/
ATOMIC_SPECIES
La 138.91 La.upf
Ag 107.87 Ag.upf
Ba 137.33 Ba.upf
Mn 54.94 Mn.upf
ATOMIC_POSITIONS angstrom
La 2.354 0.000 0.000
Ag 0.000 2.617 0.000
Ag 0.000 0.000 2.617
Ba 2.354 2.617 2.617
Mn 0.000 0.000 0.000
CELL_PARAMETERS angstrom
4.709 0.000 0.000
0.000 5.234 0.000
0.000 0.000 5.234
! DFT formation energy ... 116 kJ/mol of formula units
! Density ... 7.04 g/cm3
! Space group ... P4/mmm, No. 123
! Energy above the most stable polymorph in this dataset ... 0.0000 eV/atom
! Total magnetization ... 1.70 μB/f.u.

=====

Record 6
! MgTlZn2, optimized geometry, DFT PBEsol; values from VASP
&SYSTEM
  ibrav = 0, nat = 4, ntyp = 3
/
ATOMIC_SPECIES
Zn 65.41 Zn.upf
Tl 204.38 Tl.upf
Mg 24.30 Mg.upf
ATOMIC_POSITIONS angstrom
Zn 0.000 0.000 0.000
Zn 2.124 0.000 2.102
Tl 0.000 2.124 2.102
Mg 2.124 2.124 0.000
CELL_PARAMETERS angstrom
4.248 0.000 0.000
0.000 4.248 0.000
-2.124 -2.124 4.204
! DFT formation energy ... 29 kJ/mol of formula units
! Density ... 7.87 g/cm3
! Space group ... I-4m2, No. 119
! Energy above the most stable polymorph in this dataset ... 0.0157 eV/atom
! Total magnetization ... 0.00 μB/f.u.

=====

Record 7
! IrBr, optimized geometry, DFT PBEsol; values from VASP
&SYSTEM
  ibrav = 0, nat = 4, ntyp = 2
/
ATOMIC_SPECIES
Br 79.90 Br.upf
Ir 192.22 Ir.upf
ATOMIC_POSITIONS angstrom
Br 1.459 0.842 8.811
Br 0.000 1.685 4.129
Ir 1.459 0.842 6.445
Ir 0.000 1.685 1.762
CELL_PARAMETERS angstrom
2.918 0.000 0.000
-1.459 2.527 0.000
0.000 0.000 9.366
! Density ... 13.08 g/cm3
! Space group ... P6_3mc, No. 186
! Energy above the most stable polymorph in this dataset ... 0.4919 eV/atom
! Total magnetization ... 0.00 μB/f.u.

=====

Record 8
! ZnHgMo2, optimized geometry, DFT PBEsol; values from VASP
&SYSTEM
  ibrav = 0, nat = 4, ntyp = 3
/
ATOMIC_SPECIES
Mo 95.94 Mo.upf
Zn 65.41 Zn.upf
Hg 200.59 Hg.upf
ATOMIC_POSITIONS angstrom
Mo 1.893 0.000 0.000
Mo 0.000 1.893 0.000
Zn 1.893 1.893 2.199
Hg 0.000 0.000 2.199
CELL_PARAMETERS angstrom
3.785 0.000 0.000
0.000 3.785 0.000
0.000 0.000 4.399
! DFT formation energy ... 130 kJ/mol of formula units
! Density ... 12.06 g/cm3
! Space group ... P4/mmm, No. 123
! Total magnetization ... 0.00 μB/f.u.

=====

Record 9
! TmFe2O4, optimized geometry, DFT PBEsol; values from VASP
&SYSTEM
  ibrav = 0, nat = 7, ntyp = 3
/
ATOMIC_SPECIES
Fe 55.84 Fe.upf
O 16.00 O.upf
Tm 168.93 Tm.upf
ATOMIC_POSITIONS angstrom
Fe 1.722 0.994 2.951
Fe 5.165 2.982 5.221
O 1.722 0.994 1.006
O 5.165 2.982 3.093
O 1.722 0.994 5.079
O 5.165 2.982 7.166
Tm 0.000 0.000 0.000
CELL_PARAMETERS angstrom
3.443 0.000 0.000
1.722 2.982 0.000
1.722 0.994 8.172
! Density ... 6.82 g/cm3
! Space group ... R-3m, No. 166
! Final energy ... -57.78 eV for the cell shown
! Total magnetization ... 9.04 μB/f.u.

=====

Record 10
! ScFeGe, optimized geometry, DFT PBEsol; values from VASP
&SYSTEM
  ibrav = 0, nat = 9, ntyp = 3
/
ATOMIC_SPECIES
Fe 55.84 Fe.upf
Sc 44.96 Sc.upf
Ge 72.64 Ge.upf
ATOMIC_POSITIONS angstrom
Fe 0.000 -0.725 1.256
Fe 0.000 1.450 0.000
Fe 0.000 2.462 4.264
Sc 1.937 1.347 2.334
Sc 1.937 3.679 0.000
Sc 1.937 -1.840 3.186
Ge 0.000 0.000 3.680
Ge 0.000 3.187 1.840
Ge 1.937 0.000 0.000
CELL_PARAMETERS angstrom
3.875 0.000 0.000
0.000 6.374 0.000
0.000 -3.187 5.520
! DFT formation energy ... -173 kJ/mol of formula units
! Density ... 6.34 g/cm3
! Space group ... P-62m, No. 189
! Total magnetization ... 1.43 μB/f.u.

=====

Record 11
! InAsF3, optimized geometry, DFT PBEsol; values from VASP
&SYSTEM
  ibrav = 0, nat = 5, ntyp = 3
/
ATOMIC_SPECIES
F 19.00 F.upf
In 114.82 In.upf
As 74.92 As.upf
ATOMIC_POSITIONS angstrom
F 0.000 2.158 0.000
F 2.158 0.000 0.000
F 0.000 0.000 2.158
In 0.000 0.000 0.000
As 2.158 2.158 2.158
CELL_PARAMETERS angstrom
4.317 0.000 0.000
0.000 4.317 0.000
0.000 0.000 4.317
! Density ... 5.09 g/cm3
! Space group ... Pm-3m, No. 221
! Final energy ... -20.09 eV for the cell shown
! Total magnetization ... 2.33 μB/f.u.

=====

Record 12
! LiIn2Au2, optimized geometry, DFT PBEsol; values from VASP
&SYSTEM
  ibrav = 0, nat = 10, ntyp = 3
/
ATOMIC_SPECIES
In 114.82 In.upf
Au 196.97 Au.upf
Li 6.94 Li.upf
ATOMIC_POSITIONS angstrom
In -0.477 -2.882 -1.562
In 1.644 -7.764 -0.629
In 1.217 -5.548 -3.713
In -0.050 -5.098 1.522
Au 2.032 -2.987 -3.078
Au 3.539 -6.540 -2.221
Au 1.036 -2.495 0.716
Au 2.543 -6.048 1.572
Li 0.000 0.000 0.000
Li 2.288 -4.517 -0.753
CELL_PARAMETERS angstrom
-3.408 -1.611 -0.686
2.780 -3.438 -5.733
1.795 -5.597 4.227
! DFT formation energy ... -132 kJ/mol of formula units
! Density ... 10.43 g/cm3
! Space group ... P4/mbm, No. 127
! Energy above the most stable polymorph in this dataset ... 0.0000 eV/atom
! Total magnetization ... 0.00 μB/f.u.

=====

Let's list Fermi-level density of states in order: 2.8, 4.0, 3.1, 1.9, 4.6, 1.3, 1.4, 2.1, 3.5, 3.2, 4.3, 1.6 states/eV/f.u..